# 1
# Sr6SnPb2 | Alexandria | PBE-GGA | relaxed
data_Sr6SnPb2
_cell_length_a 11.3272
_cell_length_b 11.3470
_cell_length_c 5.6597
_cell_angle_alpha 90.00
_cell_angle_beta 90.00
_cell_angle_gamma 90.00
_space_group_name_H-M_alt 'P 1'
_space_group_IT_number 1
loop_
_space_group_symop_operation_xyz
'x,y,z'
loop_
_atom_site_label
_atom_site_fract_x
_atom_site_fract_y
_atom_site_fract_z
Sr1 0.0434 0.2040 0.0000
Sr2 0.1134 0.6132 0.5000
Sr3 0.2036 0.9562 0.5000
Sr4 0.2964 0.4562 0.0000
Sr5 0.3866 0.1132 0.0000
Sr6 0.4566 0.7040 0.5000
Sr7 0.5434 0.2960 0.5000
Sr8 0.6134 0.8868 0.0000
Sr9 0.7036 0.5438 0.0000
Sr10 0.7964 0.0438 0.5000
Sr11 0.8866 0.3869 0.5000
Sr12 0.9566 0.7960 0.0000
Sn1 0.0000 0.5000 0.0000
Sn2 0.5000 0.0000 0.5000
Pb1 0.2325 0.2668 0.5000
Pb2 0.2675 0.7668 0.0000
Pb3 0.7325 0.2332 0.0000
Pb4 0.7675 0.7332 0.5000
# Crystal system: orthorhombic
# Total energy: -0.2083 Ry per atom



# 2
# CaInI2O | Alexandria | PBE-GGA | relaxed
data_CaInI2O
_cell_length_a 6.2110
_cell_length_b 6.2110
_cell_length_c 4.0472
_cell_angle_alpha 90.00
_cell_angle_beta 90.00
_cell_angle_gamma 90.00
_space_group_name_H-M_alt 'P 1'
_space_group_IT_number 1
loop_
_space_group_symop_operation_xyz
'x,y,z'
loop_
_atom_site_label
_atom_site_fract_x
_atom_site_fract_y
_atom_site_fract_z
Ca1 0.0000 0.0000 0.0000
In1 0.5000 0.5000 0.5000
I1 0.0000 0.5000 0.5000
I2 0.5000 0.0000 0.5000
O1 0.5000 0.5000 0.0000
# Crystal system: tetragonal
# Total energy: -0.2478 Ry per atom
# Formation energy (no corrections): -0.812 eV per atom